Entry 1:
DFT (PBE-GGA) results for a relaxed Ac3Si9Tc2 crystal.

Unit cell a=4.221 b=10.928 c=11.889 alpha=90.00 beta=90.00 gamma=90.00
Space group Immm (No. 71)
One atom of each set of equivalent atoms:
Ac  0.000  0.000  0.000 (multiplicity 2)
Ac  0.000  0.000  0.311 (multiplicity 4)
Si  0.000  0.281  0.120 (multiplicity 8)
Si  0.000  0.341  0.332 (multiplicity 8)
Si  0.000  0.500  0.000 (multiplicity 2)
Tc  0.000  0.219  0.500 (multiplicity 4)

- mass density (g/cm3) = 6.8
- total energy (eV per atom) = -6.176
- total magnetization (μB per cell) = 0.00
- formation energy without anion corrections (eV/atom) = -0.328



Entry 2:
DFT (PBE-GGA) results for a relaxed AcSi4Tc4 crystal.

Unit cell a=8.239 b=8.239 c=4.646 alpha=90.00 beta=90.00 gamma=90.00
Space group P4_2/n (No. 86, origin choice 2)
One atom of each set of equivalent atoms:
Ac  0.250  0.250  0.250 (multiplicity 2)
Si  0.051  0.906  0.170 (multiplicity 8)
Tc  0.127  0.629  0.165 (multiplicity 8)

- mass density (g/cm3) = 7.7
- total energy (eV per atom) = -8.010
- total magnetization (μB per cell) = 0.00
- formation energy without anion corrections (eV/atom) = -0.537



Entry 3:
DFT (PBE-GGA) results for a relaxed AcSiTc crystal.

Unit cell a=4.1945 b=4.1945 c=4.6831 alpha=90.00 beta=90.00 gamma=120.00
Space group P-6m2 (No. 187)
One atom of each set of equivalent atoms:
Ac  0.0000  0.0000  0.0000 (multiplicity 1)
Si  0.6667  0.3333  0.5000 (multiplicity 1)
Tc  0.3333  0.6667  0.5000 (multiplicity 1)

- mass density (g/cm3) = 8.2
- total energy (eV per atom) = -6.956
- total magnetization (μB per cell) = 0.00
- formation energy without anion corrections (eV/atom) = -0.323



Entry 4:
DFT (PBE-GGA) results for a relaxed AcSiTc crystal.

Unit cell a=7.711 b=11.370 c=7.272 alpha=90.00 beta=90.00 gamma=90.00
Space group Cmce (No. 64)
One atom of each set of equivalent atoms:
Ac  0.000  0.150  0.126 (multiplicity 8)
Si  0.250  0.118  0.750 (multiplicity 8)
Tc  0.000  0.086  0.586 (multiplicity 8)

- mass density (g/cm3) = 7.4
- total energy (eV per atom) = -6.801
- total magnetization (μB per cell) = 0.00
- formation energy without anion corrections (eV/atom) = -0.168



Entry 5:
DFT (PBE-GGA) results for a relaxed Ac2Si3Tc crystal.

Unit cell a=8.567 b=9.083 c=14.696 alpha=90.00 beta=90.00 gamma=90.00
Space group Fmmm (No. 69)
One atom of each set of equivalent atoms:
Ac  0.000  0.241  0.000 (multiplicity 8)
Ac  0.250  0.250  0.250 (multiplicity 8)
Si  0.000  0.000  0.333 (multiplicity 8)
Si  0.247  0.000  0.084 (multiplicity 16)
Tc  0.000  0.000  0.167 (multiplicity 8)

- mass density (g/cm3) = 7.4
- total energy (eV per atom) = -6.277
- total magnetization (μB per cell) = 0.00
- formation energy without anion corrections (eV/atom) = -0.468



Entry 6:
DFT (PBE-GGA) results for a relaxed AcSi2Tc4 crystal.

Unit cell a=4.210 b=14.196 c=4.197 alpha=90.00 beta=90.00 gamma=90.00
Space group Cmmm (No. 65)
One atom of each set of equivalent atoms:
Ac  0.000  0.000  0.000 (multiplicity 2)
Si  0.000  0.404  0.500 (multiplicity 4)
Tc  0.000  0.193  0.500 (multiplicity 4)
Tc  0.000  0.302  0.000 (multiplicity 4)

- mass density (g/cm3) = 8.9
- total energy (eV per atom) = -8.502
- total magnetization (μB per cell) = 0.00
- formation energy without anion corrections (eV/atom) = -0.442



Entry 7:
DFT (PBE-GGA) results for a relaxed AcSiTc crystal.

Unit cell a=4.443 b=4.443 c=7.167 alpha=90.00 beta=90.00 gamma=90.00
Space group P4/nmm (No. 129, origin choice 2)
One atom of each set of equivalent atoms:
Ac  0.250  0.250  0.189 (multiplicity 2)
Si  0.250  0.250  0.657 (multiplicity 2)
Tc  0.250  0.750  0.500 (multiplicity 2)

- mass density (g/cm3) = 8.3
- total energy (eV per atom) = -7.135
- total magnetization (μB per cell) = 0.00
- formation energy without anion corrections (eV/atom) = -0.502



Entry 8:
DFT (PBE-GGA) results for a relaxed AcTiSi2Tc crystal.

Unit cell a=4.155 b=4.155 c=11.464 alpha=90.00 beta=90.00 gamma=90.00
Space group I-4m2 (No. 119)
One atom of each set of equivalent atoms:
Ac  0.000  0.000  0.000 (multiplicity 2)
Ti  0.000  0.500  0.750 (multiplicity 2)
Si  0.000  0.000  0.380 (multiplicity 4)
Tc  0.000  0.500  0.250 (multiplicity 2)

- mass density (g/cm3) = 7.2
- total energy (eV per atom) = -7.240
- total magnetization (μB per cell) = 0.00
- formation energy without anion corrections (eV/atom) = -0.597



Entry 9:
DFT (PBE-GGA) results for a relaxed AcSiTe4 crystal.

Unit cell a=6.695 b=10.648 c=6.712 alpha=90.00 beta=100.08 gamma=90.00
Space group P2_1/m (No. 11)
One atom of each set of equivalent atoms:
Ac  0.152  0.250  0.148 (multiplicity 2)
Si  0.369  0.750  0.376 (multiplicity 2)
Te  0.174  0.570  0.182 (multiplicity 4)
Te  0.263  0.250  0.661 (multiplicity 2)
Te  0.335  0.750  0.743 (multiplicity 2)

- mass density (g/cm3) = 5.4
- total energy (eV per atom) = -4.263
- total magnetization (μB per cell) = 0.00
- formation energy without anion corrections (eV/atom) = -0.580



Entry 10:
DFT (PBE-GGA) results for a relaxed Ac2SiTe crystal.

Unit cell a=4.5895 b=4.5895 c=24.1398 alpha=90.00 beta=90.00 gamma=120.00
Space group R3m (No. 160, hexagonal axes)
One atom of each set of equivalent atoms:
Ac  0.0000  0.0000  0.0000 (multiplicity 3)
Ac  0.0000  0.0000  0.1886 (multiplicity 3)
Si  0.0000  0.0000  0.5938 (multiplicity 3)
Te  0.0000  0.0000  0.7622 (multiplicity 3)

- mass density (g/cm3) = 6.9
- total energy (eV per atom) = -5.234
- total magnetization (μB per cell) = 0.00
- formation energy without anion corrections (eV/atom) = -1.039



Entry 11:
DFT (PBE-GGA) results for a relaxed Ac2SiTe crystal.

Unit cell a=4.6484 b=4.6484 c=23.3686 alpha=90.00 beta=90.00 gamma=120.00
Space group R-3m (No. 166, hexagonal axes)
One atom of each set of equivalent atoms:
Ac  0.0000  0.0000  0.2407 (multiplicity 6)
Si  0.0000  0.0000  0.5000 (multiplicity 3)
Te  0.0000  0.0000  0.0000 (multiplicity 3)

- mass density (g/cm3) = 6.9
- total energy (eV per atom) = -5.290
- total magnetization (μB per cell) = 0.00
- formation energy without anion corrections (eV/atom) = -1.094



Entry 12:
DFT (PBE-GGA) results for a relaxed Ac6SiTe5 crystal.

Unit cell a=8.185 b=14.151 c=8.179 alpha=90.00 beta=109.37 gamma=90.00
Space group C2/m (No. 12)
One atom of each set of equivalent atoms:
Ac  0.231  0.000  0.261 (multiplicity 4)
Ac  0.234  0.156  0.734 (multiplicity 8)
Si  0.000  0.000  0.500 (multiplicity 2)
Te  0.000  0.174  0.000 (multiplicity 4)
Te  0.000  0.335  0.500 (multiplicity 4)
Te  0.000  0.500  0.000 (multiplicity 2)

- mass density (g/cm3) = 7.5
- total energy (eV per atom) = -5.221
- total magnetization (μB per cell) = 0.00
- formation energy without anion corrections (eV/atom) = -1.406



Question: total magnetization of number 9 (AcSiTe4)?
Answer: 0.00 μB per cell



Question: Look up the formation energy without anion corrections of the seventh one.
Answer: -0.502 eV/atom